Here is TmThCdRu after structural relaxation from Alexandria. Energies are from PBE.

Computed properties:
magnetization	0.00	μB per cell
E_form	-0.231	eV/atom

abc: 5.1135 5.1135 5.1135
angles: 60.00 60.00 60.00
Last column: nearest neighbours and their distance in Å.
Atoms (fractional coordinates):
Tm 0.0000 0.0000 0.0000  4 Cd 3.13, 4 Ru 3.13
Th 0.5000 0.5000 0.5000  4 Cd 3.13, 4 Ru 3.13
Cd 0.7500 0.7500 0.7500  4 Th 3.13, 4 Tm 3.13
Ru 0.2500 0.2500 0.2500  4 Th 3.13, 4 Tm 3.13

=====

Here is Nd6YHo2Tm3 after structural relaxation from Alexandria. Energies are from PBE.

Computed properties:
magnetization	0.00	μB per cell
E_form	0.013	eV/atom

abc: 6.2526 6.2526 11.7871
angles: 95.06 95.06 119.99
Last column: nearest neighbours and their distance in Å.
Atoms (fractional coordinates):
Nd 0.0817 0.4159 0.2486  3 Tm 3.55-3.56, 2 Ho 3.58, 1 Y 3.59, 6 Nd 3.60-3.62
Nd 0.2500 0.2500 0.7516  3 Tm 3.55-3.56, 2 Ho 3.59, 1 Y 3.59, 6 Nd 3.60-3.62
Nd 0.4159 0.0817 0.2486  3 Tm 3.55-3.56, 2 Ho 3.58, 1 Y 3.59, 6 Nd 3.60-3.62
Nd 0.5841 0.9183 0.7514  3 Tm 3.55-3.56, 2 Ho 3.58, 1 Y 3.59, 6 Nd 3.60-3.62
Nd 0.7500 0.7500 0.2484  3 Tm 3.55-3.56, 2 Ho 3.59, 1 Y 3.59, 6 Nd 3.60-3.62
Nd 0.9183 0.5841 0.7514  3 Tm 3.55-3.56, 2 Ho 3.58, 1 Y 3.59, 6 Nd 3.60-3.62
Y 0.5000 0.5000 0.5000  6 Nd 3.59, 6 Ho 3.61
Ho 0.1666 0.8334 0.5000  6 Nd 3.58-3.59, 3 Ho 3.61, 3 Y 3.61
Ho 0.8334 0.1666 0.5000  6 Nd 3.58-3.59, 3 Ho 3.61, 3 Y 3.61
Tm 0.0000 0.0000 0.0000  6 Nd 3.55-3.56, 6 Tm 3.61
Tm 0.3332 0.6668 0.0000  6 Nd 3.55-3.56, 6 Tm 3.61
Tm 0.6668 0.3332 0.0000  6 Nd 3.55-3.56, 6 Tm 3.61

=====

Here is Ba4NaSr6 after structural relaxation from Alexandria. Energies are from PBE.

Computed properties:
magnetization	0.00	μB per cell
E_form	0.080	eV/atom

abc: 6.8251 6.8251 31.6260
angles: 90.00 90.00 119.89
Last column: nearest neighbours and their distance in Å.
Atoms (fractional coordinates):
Ba 0.0016 0.9984 0.6259  8 Sr 3.93-4.33
Ba 0.0016 0.9984 0.8741  8 Sr 3.93-4.33
Ba 0.3340 0.6660 0.5442  8 Sr 4.18-4.49
Ba 0.3340 0.6660 0.9558  8 Sr 4.18-4.49
Ba 0.6660 0.3340 0.0442  8 Sr 4.18-4.49
Ba 0.6660 0.3340 0.4558  8 Sr 4.18-4.49
Ba 0.9984 0.0016 0.1259  8 Sr 3.93-4.33
Ba 0.9984 0.0016 0.3741  8 Sr 3.93-4.33
Na 0.3312 0.6688 0.2500  3 Sr 3.94
Na 0.6688 0.3312 0.7500  3 Sr 3.94
Sr 0.0000 0.0000 0.0000  8 Ba 3.98-4.19
Sr 0.0000 0.0000 0.5000  8 Ba 3.98-4.19
Sr 0.0025 0.9975 0.7500  2 Ba 3.93, 3 Na 3.94
Sr 0.3320 0.6680 0.0978  7 Ba 4.04-4.49
Sr 0.3320 0.6680 0.4022  7 Ba 4.04-4.49
Sr 0.3356 0.6644 0.6825  7 Sr 4.27-4.77, 4 Ba 4.33-4.37, 3 Na 4.48-4.49
Sr 0.3356 0.6644 0.8175  7 Sr 4.27-4.77, 4 Ba 4.33-4.37, 3 Na 4.48-4.49
Sr 0.6644 0.3356 0.1825  7 Sr 4.27-4.77, 4 Ba 4.33-4.37, 3 Na 4.48-4.49
Sr 0.6644 0.3356 0.3175  7 Sr 4.27-4.77, 4 Ba 4.33-4.37, 3 Na 4.48-4.49
Sr 0.6680 0.3320 0.5978  7 Ba 4.04-4.49
Sr 0.6680 0.3320 0.9022  7 Ba 4.04-4.49
Sr 0.9975 0.0025 0.2500  2 Ba 3.93, 3 Na 3.94

=====

Here is Sc3HgO after structural relaxation from Alexandria. Energies are from PBE.

Computed properties:
E_form (uncorrected)	-1.02	eV/atom
magnetization	1.98	μB per cell
energy above the lowest structure with this stoichiometry	474	meV per atom

abc: 7.8769 7.8769 7.8769
angles: 47.79 47.79 47.79
Last column: nearest neighbours and their distance in Å.
Atoms (fractional coordinates):
Sc 0.0590 0.7500 0.4410  1 O 1.97
Sc 0.2500 0.5590 0.9410  1 O 1.97
Sc 0.4410 0.0590 0.7500  1 O 1.97
Sc 0.5590 0.9410 0.2500  1 O 1.97
Sc 0.7500 0.4410 0.0590  1 O 1.97
Sc 0.9410 0.2500 0.5590  1 O 1.97
Hg 0.0000 0.0000 0.0000  6 Sc 2.81
Hg 0.5000 0.5000 0.5000  6 Sc 2.81
O 0.2500 0.2500 0.2500  3 Sc 1.97
O 0.7500 0.7500 0.7500  3 Sc 1.97

=====

Here is La3ErAs4 after structural relaxation from Alexandria. Energies are from PBE.

Computed properties:
magnetization	0.00	μB per cell
E_form	-1.542	eV/atom

abc: 7.4533 8.6212 7.4585
angles: 90.00 109.51 90.00
Last column: nearest neighbours and their distance in Å.
Atoms (fractional coordinates):
La 0.0000 0.1236 0.2500  6 As 3.03-3.12
La 0.0000 0.3725 0.7500  6 As 3.04-3.13
La 0.0000 0.6275 0.2500  6 As 3.04-3.13
La 0.0000 0.8764 0.7500  6 As 3.03-3.12
La 0.5000 0.3728 0.2500  6 As 3.04-3.06
La 0.5000 0.6272 0.7500  6 As 3.04-3.06
Er 0.5000 0.1234 0.7500  6 As 2.97-2.99
Er 0.5000 0.8766 0.2500  6 As 2.97-2.99
As 0.2547 0.3694 0.5060  1 Er 2.99, 5 La 3.04-3.13
As 0.2547 0.6306 0.0060  1 Er 2.99, 5 La 3.04-3.13
As 0.2612 0.1189 0.9993  2 Er 2.97, 4 La 3.03-3.12
As 0.2612 0.8811 0.4993  2 Er 2.97, 4 La 3.03-3.12
As 0.7388 0.1189 0.5007  2 Er 2.97, 4 La 3.03-3.12
As 0.7388 0.8811 0.0007  2 Er 2.97, 4 La 3.03-3.12
As 0.7453 0.3694 0.9940  1 Er 2.99, 5 La 3.04-3.13
As 0.7453 0.6306 0.4940  1 Er 2.99, 5 La 3.04-3.13

=====

Here is Ca3Tc5O12 after structural relaxation from Alexandria. Energies are from PBE.

Computed properties:
E_form (uncorrected)	-1.66	eV/atom
magnetization	2.83	μB per cell

abc: 11.1082 11.1082 11.1082
angles: 109.47 109.47 109.47
Last column: nearest neighbours and their distance in Å.
Atoms (fractional coordinates):
Ca 0.1250 0.2500 0.3750  8 O 2.39-2.61
Ca 0.1250 0.3750 0.7500  8 O 2.39-2.61
Ca 0.2500 0.3750 0.1250  8 O 2.39-2.61
Ca 0.2500 0.8750 0.6250  8 O 2.39-2.61
Ca 0.3750 0.1250 0.2500  8 O 2.39-2.61
Ca 0.3750 0.7500 0.1250  8 O 2.39-2.61
Ca 0.6250 0.2500 0.8750  8 O 2.39-2.61
Ca 0.6250 0.8750 0.7500  8 O 2.39-2.61
Ca 0.7500 0.1250 0.3750  8 O 2.39-2.61
Ca 0.7500 0.6250 0.8750  8 O 2.39-2.61
Ca 0.8750 0.6250 0.2500  8 O 2.39-2.61
Ca 0.8750 0.7500 0.6250  8 O 2.39-2.61
Tc 0.0000 0.0000 0.0000  6 O 2.05
Tc 0.0000 0.0000 0.5000  6 O 2.05
Tc 0.0000 0.5000 0.0000  6 O 2.05
Tc 0.0000 0.5000 0.5000  6 O 2.05
Tc 0.1250 0.7500 0.8750  4 O 1.92
Tc 0.1250 0.8750 0.2500  4 O 1.92
Tc 0.2500 0.1250 0.8750  4 O 1.92
Tc 0.2500 0.6250 0.3750  4 O 1.92
Tc 0.3750 0.2500 0.6250  4 O 1.92
Tc 0.3750 0.6250 0.7500  4 O 1.92
Tc 0.5000 0.0000 0.0000  6 O 2.05
Tc 0.5000 0.0000 0.5000  6 O 2.05
Tc 0.5000 0.5000 0.0000  6 O 2.05
Tc 0.5000 0.5000 0.5000  6 O 2.05
Tc 0.6250 0.3750 0.2500  4 O 1.92
Tc 0.6250 0.7500 0.3750  4 O 1.92
Tc 0.7500 0.3750 0.6250  4 O 1.92
Tc 0.7500 0.8750 0.1250  4 O 1.92
Tc 0.8750 0.1250 0.7500  4 O 1.92
Tc 0.8750 0.2500 0.1250  4 O 1.92
O 0.0244 0.1996 0.1255  2 Tc 1.92-2.05
O 0.0244 0.3249 0.8989  2 Tc 1.92-2.05
O 0.0741 0.6996 0.6751  2 Tc 1.92-2.05
O 0.0741 0.8745 0.3989  2 Tc 1.92-2.05
O 0.1011 0.6255 0.4259  2 Tc 1.92-2.05
O 0.1011 0.9756 0.6751  2 Tc 1.92-2.05
O 0.1255 0.0244 0.1996  2 Tc 1.92-2.05
O 0.1255 0.6011 0.9259  2 Tc 1.92-2.05
O 0.1751 0.1996 0.5741  2 Tc 1.92-2.05
O 0.1751 0.4756 0.6011  2 Tc 1.92-2.05
O 0.1996 0.1255 0.0244  2 Tc 1.92-2.05
O 0.1996 0.5741 0.1751  2 Tc 1.92-2.05
O 0.3004 0.3249 0.9259  2 Tc 1.92-2.05
O 0.3004 0.4756 0.3745  2 Tc 1.92-2.05
O 0.3249 0.8989 0.0244  2 Tc 1.92-2.05
O 0.3249 0.9259 0.3004  2 Tc 1.92-2.05
O 0.3745 0.3004 0.4756  2 Tc 1.92-2.05
O 0.3745 0.5741 0.8989  2 Tc 1.92-2.05
O 0.3989 0.0741 0.8745  2 Tc 1.92-2.05
O 0.3989 0.8249 0.5244  2 Tc 1.92-2.05
O 0.4259 0.1011 0.6255  2 Tc 1.92-2.05
O 0.4259 0.8249 0.8004  2 Tc 1.92-2.05
O 0.4756 0.3745 0.3004  2 Tc 1.92-2.05
O 0.4756 0.6011 0.1751  2 Tc 1.92-2.05
O 0.5244 0.3989 0.8249  2 Tc 1.92-2.05
O 0.5244 0.6255 0.6996  2 Tc 1.92-2.05
O 0.5741 0.1751 0.1996  2 Tc 1.92-2.05
O 0.5741 0.8989 0.3745  2 Tc 1.92-2.05
O 0.6011 0.1751 0.4756  2 Tc 1.92-2.05
O 0.6011 0.9259 0.1255  2 Tc 1.92-2.05
O 0.6255 0.4259 0.1011  2 Tc 1.92-2.05
O 0.6255 0.6996 0.5244  2 Tc 1.92-2.05
O 0.6751 0.0741 0.6996  2 Tc 1.92-2.05
O 0.6751 0.1011 0.9756  2 Tc 1.92-2.05
O 0.6996 0.5244 0.6255  2 Tc 1.92-2.05
O 0.6996 0.6751 0.0741  2 Tc 1.92-2.05
O 0.8004 0.4259 0.8249  2 Tc 1.92-2.05
O 0.8004 0.8745 0.9756  2 Tc 1.92-2.05
O 0.8249 0.5244 0.3989  2 Tc 1.92-2.05
O 0.8249 0.8004 0.4259  2 Tc 1.92-2.05
O 0.8745 0.3989 0.0741  2 Tc 1.92-2.05
O 0.8745 0.9756 0.8004  2 Tc 1.92-2.05
O 0.8989 0.0244 0.3249  2 Tc 1.92-2.05
O 0.8989 0.3745 0.5741  2 Tc 1.92-2.05
O 0.9259 0.1255 0.6011  2 Tc 1.92-2.05
O 0.9259 0.3004 0.3249  2 Tc 1.92-2.05
O 0.9756 0.6751 0.1011  2 Tc 1.92-2.05
O 0.9756 0.8004 0.8745  2 Tc 1.92-2.05

=====

Here is Na4Pu3S8 after structural relaxation from Alexandria. Energies are from PBE.

Computed properties:
E_form (uncorrected)	-1.25	eV/atom
magnetization	12.00	μB per cell
energy above the lowest structure with this stoichiometry	83	meV per atom

abc: 7.8114 7.8114 7.8466
angles: 118.74 118.74 91.90
Last column: nearest neighbours and their distance in Å.
Atoms (fractional coordinates):
Na 0.0000 0.0000 0.0000  6 S 2.89-2.96
Na 0.0000 0.5000 0.0000  6 S 2.72-2.83
Na 0.5000 0.0000 0.0000  6 S 2.72-2.83
Na 0.5000 0.5000 0.5000  6 S 2.79-2.84
Pu 0.0000 0.5000 0.5000  6 S 2.72-2.83
Pu 0.5000 0.0000 0.5000  6 S 2.72-2.83
Pu 0.5000 0.5000 0.0000  6 S 2.47-2.73
S 0.2503 0.7497 0.5000  2 Pu 2.72, 3 Na 2.80-2.83
S 0.2542 0.2542 0.5218  3 Pu 2.71-2.81, 2 Na 2.79-2.96
S 0.2572 0.7428 0.0000  3 Na 2.72-2.89, 3 Pu 2.73-2.83
S 0.2724 0.2724 0.0003  1 Pu 2.47
S 0.7276 0.7276 0.9997  1 Pu 2.47
S 0.7428 0.2572 0.0000  3 Na 2.72-2.89, 3 Pu 2.73-2.83
S 0.7458 0.7458 0.4782  3 Pu 2.71-2.81, 2 Na 2.79-2.96
S 0.7497 0.2503 0.5000  2 Pu 2.72, 3 Na 2.80-2.83

=====

Here is LaPm3Rh after structural relaxation from Alexandria. Energies are from PBE.

Computed properties:
magnetization	0.00	μB per cell
E_form	-0.314	eV/atom
energy above the lowest structure with this stoichiometry	0	meV per atom

abc: 7.4899 7.4899 8.4814
angles: 124.10 124.10 71.23
Last column: nearest neighbours and their distance in Å.
Atoms (fractional coordinates):
La 0.0490 0.0490 0.3353  1 Rh 2.69
La 0.9510 0.9510 0.6647  1 Rh 2.69
Pm 0.0527 0.4534 0.2120  1 Rh 2.74
Pm 0.4489 0.4489 0.7427  1 Rh 2.74
Pm 0.4534 0.0527 0.2120  1 Rh 2.74
Pm 0.5466 0.9473 0.7880  1 Rh 2.74
Pm 0.5511 0.5511 0.2573  1 Rh 2.74
Pm 0.9473 0.5466 0.7880  1 Rh 2.74
Rh 0.2477 0.2477 0.8857  1 La 2.69, 3 Pm 2.74
Rh 0.7523 0.7523 0.1143  1 La 2.69, 3 Pm 2.74

=====

Here is Li2U2Cl2O5 after structural relaxation from Alexandria. Energies are from PBE.

Computed properties:
E_form (uncorrected)	-2.58	eV/atom
magnetization	2.00	μB per cell

abc: 11.6009 11.6009 11.6009
angles: 159.01 159.01 29.85
Last column: nearest neighbours and their distance in Å.
Atoms (fractional coordinates):
Li 0.1685 0.1685 0.0000  4 O 2.52, 1 Cl 2.65
Li 0.8315 0.8315 0.0000  4 O 2.52, 1 Cl 2.65
U 0.4064 0.4064 0.0000  5 O 2.10-2.13
U 0.5936 0.5936 0.0000  5 O 2.10-2.13
Cl 0.2868 0.2868 0.0000  1 Li 2.65, 1 U 2.68
Cl 0.7132 0.7132 0.0000  1 Li 2.65, 1 U 2.68
O 0.1069 0.6069 0.5000  2 U 2.13
O 0.3931 0.8931 0.5000  2 U 2.13
O 0.5000 0.5000 0.0000  2 U 2.10
O 0.6069 0.1069 0.5000  2 U 2.13
O 0.8931 0.3931 0.5000  2 U 2.13

=====

Here is Pr2ZnGa4Pd3 after structural relaxation from Alexandria. Energies are from PBE.

Computed properties:
magnetization	0.00	μB per cell
E_form	-0.724	eV/atom

abc: 4.3121 4.3121 10.5798
angles: 90.00 90.00 90.00
Last column: nearest neighbours and their distance in Å.
Atoms (fractional coordinates):
Pr 0.0000 0.5000 0.2472  6 Pd 3.29-3.44, 8 Ga 3.30-3.39, 2 Zn 3.44
Pr 0.5000 0.0000 0.7528  6 Pd 3.29-3.44, 8 Ga 3.30-3.39, 2 Zn 3.44
Zn 0.0000 0.0000 0.5000  4 Ga 2.57
Ga 0.0000 0.0000 0.0000  4 Pd 2.56
Ga 0.0000 0.5000 0.6329  3 Pd 2.50-2.57, 2 Zn 2.57
Ga 0.5000 0.0000 0.3671  3 Pd 2.50-2.57, 2 Zn 2.57
Ga 0.5000 0.5000 0.0000  4 Pd 2.56
Pd 0.0000 0.5000 0.8694  5 Ga 2.50-2.56
Pd 0.5000 0.0000 0.1306  5 Ga 2.50-2.56
Pd 0.5000 0.5000 0.5000  4 Ga 2.57